Entry from Alexandria: a relaxed structure of Pm6Ni2SCl3 (GGA-PBE).

The magnetic moment comes out at 0.00 μB per atom. The formation energy (no corrections) is -14.25 eV per formula unit. Its crystal system is monoclinic.

Geometry as CIF:
```
data_Pm6Ni2SCl3
_chemical_formula_sum 'Pm12 Ni4 S2 Cl6'
_space_group_name_H-M_alt 'C 1 2/m 1'
_space_group_IT_number 12
_cell_length_a 7.075
_cell_length_b 12.204
_cell_length_c 7.391
_cell_angle_alpha 90.00
_cell_angle_beta 108.50
_cell_angle_gamma 90.00
loop_
_space_group_symop_operation_xyz
'x,y,z'
'-x,-y,-z'
'-x,y,-z'
'x,-y,z'
'x+1/2,y+1/2,z'
'-x+1/2,-y+1/2,-z'
'-x+1/2,y+1/2,-z'
'x+1/2,-y+1/2,z'
loop_
_atom_site_label
_atom_site_fract_x
_atom_site_fract_y
_atom_site_fract_z
_atom_site_occupancy
Pm1 0.220 0.000 0.208 1
Pm2 0.246 0.325 0.212 1
Ni1 0.000 0.168 0.000 1
S1 0.000 0.500 0.000 1
Cl1 0.000 0.000 0.500 1
Cl2 0.000 0.343 0.500 1
```